(1)
Density functional theory data (GGA-PBE) for a relaxed structure of InTc2Sb.

Results
energy relative to the elements, uncorrected	0.36	eV/atom
energy relative to the lowest polymorph listed for this composition	0.2660	eV/atom
D(E_F)	4.66	states/eV/cell
size of the total moment	0.00	μB/f.u.
V	74	Å³ per cell
E_tot	-6.5373	eV/atom

Lattice parameters (Å, degrees): 4.5630 4.5630 5.5416 77.92 77.92 40.81
Fractional coordinates of all 4 atoms:
In 0.2500 0.2500 0.2500
Sb 0.7500 0.7500 0.7500
Tc 0.0065 0.0065 0.9686
Tc 0.4935 0.4935 0.5314

=====

(2)
Density functional theory data (GGA-PBE) for a relaxed structure of PrTmPb2.

Results
formation enthalpy at 0 K	-0.46	eV per atom
D(E_F)	14.42	states/eV/cell
size of the total moment	0.00	μB/f.u.
V	489	Å³ per cell
E_tot	-4.6260	eV/atom

Lattice parameters (Å, degrees): 6.4348 6.4432 12.3371 90.00 107.11 90.00
Fractional coordinates of all 16 atoms:
Pr 0.5529 0.8705 0.3672
Pr 0.4471 0.1295 0.6328
Pr 0.9471 0.8705 0.1328
Pr 0.0529 0.1295 0.8672
Tm 0.9517 0.6302 0.6259
Tm 0.0483 0.3698 0.3741
Tm 0.5483 0.6302 0.8741
Tm 0.4517 0.3698 0.1259
Pb 0.9408 0.3710 0.1062
Pb 0.0592 0.6290 0.8938
Pb 0.5592 0.3710 0.3938
Pb 0.4408 0.6290 0.6062
Pb 0.5737 0.1350 0.9069
Pb 0.4263 0.8650 0.0931
Pb 0.9263 0.1350 0.5931
Pb 0.0737 0.8650 0.4069

=====

(3)
Density functional theory data (GGA-PBE) for a relaxed structure of KInP2Se8.

Results
energy relative to the elements, uncorrected	-0.20	eV/atom
D(E_F)	10.51	states/eV/cell
size of the total moment	0.00	μB/f.u.
V	357	Å³ per cell
E_tot	-3.7435	eV/atom

Lattice parameters (Å, degrees): 6.0180 6.0180 11.9142 75.37 75.37 60.00
Fractional coordinates of all 12 atoms:
K 0.5000 0.5000 0.5000
In 0.0000 0.0000 0.0000
P 0.2569 0.2569 0.2293
P 0.7431 0.7431 0.7707
Se 0.1941 0.1941 0.4178
Se 0.6156 0.3247 0.1602
Se 0.8059 0.8059 0.5822
Se 0.8995 0.6156 0.1602
Se 0.1005 0.3844 0.8398
Se 0.3247 0.8995 0.1602
Se 0.6753 0.1005 0.8398
Se 0.3844 0.6753 0.8398

=====

(4)
Density functional theory data (GGA-PBE) for a relaxed structure of AsOsSeBr2.

Results
energy relative to the elements, uncorrected	0.73	eV/atom
energy relative to the lowest polymorph listed for this composition	0.0000	eV/atom
D(E_F)	4.53	states/eV/cell
size of the total moment	0.00	μB/f.u.
V	122	Å³ per cell
E_tot	-3.8161	eV/atom

Lattice parameters (Å, degrees): 5.0399 5.0399 4.7913 90.00 90.00 90.00
Fractional coordinates of all 5 atoms:
As 0.0000 0.0000 0.5000
Os 0.0000 0.0000 0.0000
Se 0.5000 0.5000 0.5000
Br 0.0000 0.5000 0.0000
Br 0.5000 0.0000 0.0000